Record 1
Na5Tl3Sn3: relaxed, PBE-GGA.

Output
Total moment (μB/f.u.): 0.0
SG: P-62m, No. 189
Raw total energy (eV per atom): -2.35

Cell: 10.554 10.554 3.619 Å, 90.00 90.00 120.00°
Atoms (fractional coordinates):
Na1 0.000 0.343 0.000
Na2 0.333 0.667 0.000
Na3 0.343 0.000 0.000
Na4 0.657 0.657 0.000
Na5 0.667 0.333 0.000
Tl1 0.000 0.596 0.500
Tl2 0.404 0.404 0.500
Tl3 0.596 0.000 0.500
Sn1 0.000 0.833 0.000
Sn2 0.167 0.167 0.000
Sn3 0.833 0.000 0.000

***

Record 2
Na8TlSn2: relaxed, PBE-GGA.

Output
Total moment (μB/f.u.): 0.0
SG: C2/m, No. 12
Raw total energy (eV per atom): -1.96

Cell: 9.493 9.493 5.686 Å, 107.24 107.24 123.53°
Atoms (fractional coordinates):
Na1 0.092 0.389 0.721
Na2 0.196 0.804 0.000
Na3 0.389 0.092 0.721
Na4 0.418 0.418 0.189
Na5 0.582 0.582 0.811
Na6 0.611 0.908 0.279
Na7 0.804 0.196 0.000
Na8 0.908 0.611 0.279
Tl1 0.000 0.000 0.000
Sn1 0.326 0.674 0.500
Sn2 0.674 0.326 0.500

***

Record 3
NaTl2Sn: relaxed, PBE-GGA.

Output
Total moment (μB/f.u.): 0.0
SG: Fm-3m, No. 225
Raw total energy (eV per atom): -2.60

Cell: 7.721 7.721 7.721 Å, 90.00 90.00 90.00°
Atoms (fractional coordinates):
Na1 0.000 0.000 0.000
Na2 0.000 0.500 0.500
Na3 0.500 0.000 0.500
Na4 0.500 0.500 0.000
Tl1 0.250 0.250 0.250
Tl2 0.250 0.250 0.750
Tl3 0.250 0.750 0.250
Tl4 0.250 0.750 0.750
Tl5 0.750 0.250 0.250
Tl6 0.750 0.250 0.750
Tl7 0.750 0.750 0.250
Tl8 0.750 0.750 0.750
Sn1 0.000 0.000 0.500
Sn2 0.000 0.500 0.000
Sn3 0.500 0.000 0.000
Sn4 0.500 0.500 0.500

***

Record 4
Na7Tl2Sn2: relaxed, PBE-GGA.

Output
Total moment (μB/f.u.): 0.0
SG: C2/m, No. 12
Raw total energy (eV per atom): -2.12

Cell: 6.465 6.465 8.121 Å, 97.85 97.85 98.03°
Atoms (fractional coordinates):
Na1 0.000 0.000 0.000
Na2 0.091 0.490 0.811
Na3 0.177 0.177 0.439
Na4 0.490 0.091 0.811
Na5 0.510 0.909 0.189
Na6 0.823 0.823 0.561
Na7 0.909 0.510 0.189
Tl1 0.303 0.697 0.500
Tl2 0.697 0.303 0.500
Sn1 0.392 0.392 0.145
Sn2 0.608 0.608 0.855

***

Record 5
Na3Tl2Sn4: relaxed, PBE-GGA.

Output
Total moment (μB/f.u.): 0.0
SG: P-1, No. 2
Raw total energy (eV per atom): -2.88

Cell: 5.418 6.216 8.959 Å, 88.16 72.65 64.49°
Atoms (fractional coordinates):
Na1 0.000 0.000 0.000
Na2 0.039 0.271 0.642
Na3 0.961 0.729 0.358
Tl1 0.334 0.651 0.669
Tl2 0.666 0.349 0.331
Sn1 0.319 0.365 0.996
Sn2 0.348 0.048 0.267
Sn3 0.652 0.952 0.733
Sn4 0.681 0.635 0.004

***

Record 6
NaTl10Sn2: relaxed, PBE-GGA.

Output
Total moment (μB/f.u.): 0.0
SG: Fmmm, No. 69
Raw total energy (eV per atom): -2.51

Cell: 11.379 8.795 8.543 Å, 82.02 49.95 48.04°
Atoms (fractional coordinates):
Na1 0.000 0.000 0.000
Tl1 0.000 0.000 0.500
Tl2 0.006 0.352 0.648
Tl3 0.291 0.497 0.503
Tl4 0.352 0.006 0.994
Tl5 0.497 0.291 0.709
Tl6 0.500 0.500 0.000
Tl7 0.503 0.709 0.291
Tl8 0.648 0.994 0.006
Tl9 0.709 0.503 0.497
Tl10 0.994 0.648 0.352
Sn1 0.000 0.500 0.000
Sn2 0.500 0.000 0.500